1.
The following is a DFT calculation (PBE) of a geometry-optimized YScTe structure.

Summary:
- E above lowest polymorph: 0.141 eV per atom
- Crystal system: tetragonal
- Calculated total energy: -6.066 eV/atom

Cell: 6.0722 6.0722 3.7871 Å, 71.83 71.83 36.34°
With the nearest neighbours (Å) after each atom.
Fractional positions:
Sc  0.9847  0.9847  0.0153  4 Te 3.06, 4 Y 3.34
Te  0.3482  0.3482  0.6518  4 Sc 3.06, 4 Y 3.33
Y  0.6671  0.6671  0.3329  5 Te 3.33-3.48, 5 Sc 3.34-3.46

2.
The following is a DFT calculation (PBE) of a geometry-optimized GaAgPt structure.

Summary:
- E above lowest polymorph: 0.007 eV per atom
- Crystal system: orthorhombic
- Calculated total energy: -4.284 eV/atom

Cell: 4.9091 2.8341 4.2299 Å, 90.00 90.00 90.00°
With the nearest neighbours (Å) after each atom.
Fractional positions:
Ag  0.5000  0.0000  0.5000  2 Ag 2.83, 4 Pt 2.83
Pt  0.0000  0.5000  0.5000  4 Ga 2.55, 2 Pt 2.83, 4 Ag 2.83
Ga  0.0000  0.0000  0.0000  4 Pt 2.55, 2 Ga 2.83

3.
The following is a DFT calculation (PBE) of a geometry-optimized Pr2ThMg structure.

Summary:
- E above lowest polymorph: 0.185 eV per atom
- Crystal system: cubic
- Calculated total energy: -4.503 eV/atom

Cell: 5.6657 5.6657 5.6657 Å, 60.00 60.00 60.00°
With the nearest neighbours (Å) after each atom.
Fractional positions:
Th  0.0000  0.0000  0.0000  8 Pr 3.47
Pr  0.2500  0.2500  0.2500  4 Th 3.47, 4 Mg 3.47
Pr  0.7500  0.7500  0.7500  4 Mg 3.47, 4 Th 3.47
Mg  0.5000  0.5000  0.5000  8 Pr 3.47

4.
The following is a DFT calculation (PBE) of a geometry-optimized LiPrMgIn2 structure.

Summary:
- Crystal system: orthorhombic
- Calculated total energy: -3.000 eV/atom

Cell: 6.5831 5.7705 6.5319 Å, 90.00 90.00 90.00°
With the nearest neighbours (Å) after each atom.
Fractional positions:
Mg  0.6382  0.7500  0.0000  2 Li 2.78, 2 In 2.90
In  0.2803  0.7500  0.7402  2 Li 2.89, 1 Mg 2.90, 1 In 3.14
Pr  0.7889  0.7500  0.5000  8 In 3.32-3.70, 2 Mg 3.41
Li  0.0000  0.5000  0.0000  2 Mg 2.78, 2 Li 2.89, 4 In 2.89
In  0.7197  0.2500  0.7402  2 Li 2.89, 1 Mg 2.90, 1 In 3.14
Mg  0.3618  0.2500  0.0000  2 Li 2.78, 2 In 2.90
In  0.2803  0.7500  0.2598  2 Li 2.89, 1 Mg 2.90, 1 In 3.14
Pr  0.2111  0.2500  0.5000  8 In 3.32-3.70, 2 Mg 3.41
Li  0.0000  0.0000  0.0000  2 Mg 2.78, 2 Li 2.89, 4 In 2.89
In  0.7197  0.2500  0.2598  2 Li 2.89, 1 Mg 2.90, 1 In 3.14

5.
The following is a DFT calculation (PBE) of a geometry-optimized HgHCl3 structure.

Summary:
- E above lowest polymorph: 0.000 eV per atom
- Crystal system: triclinic
- Calculated total energy: -2.406 eV/atom

Cell: 4.1418 8.2446 14.5251 Å, 86.33 41.43 73.66°
With the nearest neighbours (Å) after each atom.
Fractional positions:
Hg  0.7796  0.1932  0.6763  2 Cl 2.34-2.35
Hg  0.2204  0.8068  0.3237  2 Cl 2.34-2.35
Cl  0.2884  0.9611  0.6681  1 Hg 2.35
Cl  0.0320  0.7517  0.9781  1 H 1.30
H  0.5201  0.3744  0.1060  1 Cl 1.30
Cl  0.2869  0.4239  0.6793  1 Hg 2.34, 1 H 2.36
Cl  0.7131  0.5761  0.3207  1 Hg 2.34, 1 H 2.36
Cl  0.7116  0.0389  0.3319  1 Hg 2.35
H  0.4799  0.6256  0.8940  1 Cl 1.30
Cl  0.9680  0.2483  0.0219  1 H 1.30

6.
The following is a DFT calculation (PBE) of a geometry-optimized BaNiAg2 structure.

Summary:
- E above lowest polymorph: 0.140 eV per atom
- Crystal system: monoclinic
- Calculated total energy: -3.208 eV/atom

Cell: 4.1140 3.9973 6.3956 Å, 73.53 90.00 90.00°
With the nearest neighbours (Å) after each atom.
Fractional positions:
Ba  0.0000  0.5093  0.5780  4 Ni 3.14-3.15, 3 Ag 3.28-3.49
Ag  0.5000  0.2779  0.0887  2 Ni 2.71-2.72, 4 Ag 2.87-2.89
Ni  0.5000  0.9122  0.7894  4 Ag 2.58-2.72
Ag  0.0000  0.8005  0.0440  2 Ni 2.58, 4 Ag 2.87-2.89